Below is a relaxed HoErCo2Ge2C crystal, with properties calculated at the PBE level.

Lattice parameters (Å, degrees): 5.683 5.683 6.793 125.44 125.44 40.17
Sites, in units of the cell vectors:
Ho 0.000 0.000 0.000
Er 0.883 0.883 0.418
Co 0.248 0.248 0.626
Co 0.633 0.633 0.792
Ge 0.280 0.280 0.010
Ge 0.602 0.602 0.409
C 0.441 0.441 0.708

## Properties
space-group type = Cm (8)
spin magnetization = 0.02 μB per cell
crystal system = monoclinic
mass density = 9.06 g/cm³
final energy = -6.596 eV per atom

---

Below is a relaxed NdErCo2Ge2C crystal, with properties calculated at the PBE level.

Lattice parameters (Å, degrees): 5.764 5.764 6.930 125.93 125.93 40.29
Sites, in units of the cell vectors:
Nd 0.000 0.000 0.000
Er 0.882 0.882 0.414
Co 0.248 0.248 0.622
Co 0.628 0.628 0.781
Ge 0.276 0.276 0.998
Ge 0.605 0.605 0.415
C 0.435 0.435 0.690

## Properties
space-group type = Cm (8)
spin magnetization = 0.00 μB per cell
crystal system = monoclinic
mass density = 8.38 g/cm³
final energy = -6.589 eV per atom

---

Below is a relaxed PrErCo2Ge2C crystal, with properties calculated at the PBE level.

Lattice parameters (Å, degrees): 5.798 5.798 6.949 125.92 125.92 40.22
Sites, in units of the cell vectors:
Pr 0.000 0.000 0.000
Er 0.882 0.882 0.410
Co 0.248 0.248 0.618
Co 0.627 0.627 0.778
Ge 0.273 0.273 0.992
Ge 0.607 0.607 0.417
C 0.434 0.434 0.686

## Properties
space-group type = Cm (8)
spin magnetization = 0.01 μB per cell
crystal system = monoclinic
mass density = 8.22 g/cm³
final energy = -6.577 eV per atom

---

Below is a relaxed Er2Co2SiGeC crystal, with properties calculated at the PBE level.

Lattice parameters (Å, degrees): 5.631 5.631 6.763 126.03 126.03 40.16
Sites, in units of the cell vectors:
Er 0.000 0.000 0.000
Er 0.122 0.122 0.587
Co 0.369 0.369 0.218
Co 0.761 0.761 0.388
Si 0.400 0.400 0.590
Ge 0.716 0.716 0.990
C 0.564 0.564 0.298

## Properties
space-group type = Cm (8)
spin magnetization = 0.03 μB per cell
crystal system = monoclinic
mass density = 8.70 g/cm³
final energy = -6.744 eV per atom

---

Below is a relaxed TbErCo2Ge2C crystal, with properties calculated at the PBE level.

Lattice parameters (Å, degrees): 5.702 5.702 6.827 125.63 125.63 40.14
Sites, in units of the cell vectors:
Tb 0.000 0.000 0.000
Er 0.882 0.882 0.417
Co 0.248 0.248 0.625
Co 0.632 0.632 0.789
Ge 0.279 0.279 0.008
Ge 0.602 0.602 0.409
C 0.439 0.439 0.703

## Properties
space-group type = Cm (8)
spin magnetization = 0.00 μB per cell
crystal system = monoclinic
mass density = 8.90 g/cm³
final energy = -6.603 eV per atom

---

Below is a relaxed HoErCo2C2 crystal, with properties calculated at the PBE level.

Lattice parameters (Å, degrees): 3.608 3.608 6.800 90.00 90.00 90.00
Sites, in units of the cell vectors:
Ho 0.000 0.000 0.000
Er 0.000 0.000 0.500
Co 0.500 0.500 0.251
Co 0.500 0.500 0.749
C 0.000 0.500 0.251
C 0.500 0.000 0.749

## Properties
space-group type = P-4m2 (115)
spin magnetization = 0.67 μB per cell
crystal system = tetragonal
mass density = 8.89 g/cm³
final energy = -7.303 eV per atom